Entry 1:
Ba2CdGaCo after structural relaxation. Source: Alexandria, functional PBE.

abc: 5.8852 5.8852 4.6884
angles: 90.00 90.00 90.00
Sites, in units of the cell vectors:
Cd  0.5000  0.5000  0.5000
Ga  0.0000  0.0000  0.5000
Ba  0.5000  0.0000  0.0000
Co  0.0000  0.0000  0.0000
Ba  0.0000  0.5000  0.0000

For the formation energy, the calculation gives -0.060 eV per atom.

=====

Entry 2:
NaHg4O2 after structural relaxation. Source: Alexandria, functional PBE.

abc: 6.2342 6.2342 7.8250
angles: 66.52 66.52 90.00
Sites, in units of the cell vectors:
O  0.5513  0.5513  0.8975
O  0.4487  0.4487  0.1025
Hg  0.5000  0.0000  0.0000
Na  0.0000  0.0000  0.0000
Hg  0.0000  0.5000  0.0000
Hg  0.7650  0.7650  0.4699
Hg  0.2350  0.2350  0.5301

The formation energy (no corrections) comes out at 23 meV per atom.

=====

Entry 3:
Li3Pu2Br9 after structural relaxation. Source: Alexandria, functional PBE.

abc: 7.4064 7.4064 21.3929
angles: 90.00 90.00 120.00
Sites, in units of the cell vectors:
Br  0.3608  0.3607  0.5755
Br  0.6674  0.6674  0.7500
Li  0.9999  0.3339  0.2500
Br  0.6392  0.6393  0.0755
Br  0.0000  0.6674  0.2500
Br  0.9998  0.6392  0.5755
Br  0.3607  0.9998  0.4245
Br  0.3607  0.9998  0.0755
Br  0.6674  0.0000  0.2500
Li  0.3340  0.0001  0.2500
Br  0.3326  0.3326  0.2500
Br  0.6392  0.6393  0.4245
Pu  0.6667  0.3333  0.4999
Br  0.3608  0.3607  0.9245
Br  0.0000  0.3326  0.7500
Br  0.6393  0.0002  0.9245
Br  0.9998  0.6392  0.9245
Br  0.0002  0.3608  0.4245
Pu  0.3333  0.6667  0.5001
Li  0.0001  0.6661  0.7500
Br  0.0002  0.3608  0.0755
Br  0.6393  0.0002  0.5755
Li  0.6661  0.6660  0.2500
Li  0.3339  0.3340  0.7500
Pu  0.3333  0.6667  0.9999
Pu  0.6667  0.3333  0.0001
Li  0.6660  0.9999  0.7500
Br  0.3326  0.0000  0.7500

The formation energy (no corrections) comes out at -1504 meV per atom.